Record 1
Here is BaCu6Cl12 after structural relaxation from Alexandria via LeMat-Bulk. Energies are from PBE. Values from VASP.

Output
* crystal system: trigonal
* density: 3659 kg/m3
* space group: R-3, No. 148
* energy: -0.1222 hartree per atom
* V: 22.6 Å³ per atom

Structure (Quantum ESPRESSO input):
```
&SYSTEM
  ibrav = 0, nat = 19, ntyp = 3
/
ATOMIC_SPECIES
Ba 137.33 Ba.upf
Cu 63.55 Cu.upf
Cl 35.45 Cl.upf
ATOMIC_POSITIONS crystal
Ba 0.000 0.000 0.000
Cu 0.276 0.256 0.753
Cu 0.744 0.247 0.724
Cu 0.247 0.724 0.744
Cu 0.724 0.744 0.247
Cu 0.256 0.753 0.276
Cu 0.753 0.276 0.256
Cl 0.412 0.169 0.560
Cl 0.169 0.560 0.412
Cl 0.560 0.412 0.169
Cl 0.588 0.831 0.440
Cl 0.831 0.440 0.588
Cl 0.440 0.588 0.831
Cl 0.122 0.925 0.683
Cl 0.317 0.878 0.075
Cl 0.075 0.317 0.878
Cl 0.878 0.075 0.317
Cl 0.683 0.122 0.925
Cl 0.925 0.683 0.122
CELL_PARAMETERS angstrom
7.882 -0.270 -2.848
-3.975 6.811 -2.848
-0.161 -0.270 8.379
```

Record 2
Here is V3AuCl after structural relaxation from Alexandria via LeMat-Bulk. Energies are from PBE. Values from VASP.

Output
* crystal system: cubic
* ΔE to the lowest computed polymorph: 0.0 kJ per mole of atoms
* density: 8088 kg/m3
* space group: Pm-3m, No. 221
* V: 15.8 Å³ per atom

Structure (Quantum ESPRESSO input):
```
&SYSTEM
  ibrav = 0, nat = 5, ntyp = 3
/
ATOMIC_SPECIES
V 50.94 V.upf
Au 196.97 Au.upf
Cl 35.45 Cl.upf
ATOMIC_POSITIONS crystal
V 0.000 0.500 0.000
V 0.000 0.000 0.500
V 0.500 0.000 0.000
Au 0.500 0.500 0.500
Cl 0.000 0.000 0.000
CELL_PARAMETERS angstrom
-2.835 -0.153 3.220
1.961 -3.484 1.561
2.558 2.502 2.371
```

Record 3
Here is TbCd3Ag2 after structural relaxation from Alexandria via LeMat-Bulk. Energies are from PBE. Values from VASP.

Output
* crystal system: monoclinic
* ΔE_f: -166 meV/atom
* ΔE to the lowest computed polymorph: 0.0 kJ per mole of atoms
* density: 8797 kg/m3
* space group: C2/m, No. 12
* V: 22.4 Å³ per atom

Structure (Quantum ESPRESSO input):
```
&SYSTEM
  ibrav = 0, nat = 12, ntyp = 3
/
ATOMIC_SPECIES
Tb 158.93 Tb.upf
Cd 112.41 Cd.upf
Ag 107.87 Ag.upf
ATOMIC_POSITIONS crystal
Tb 0.888 0.775 0.935
Tb 0.112 0.225 0.065
Cd 0.306 0.613 0.527
Cd 0.929 0.858 0.533
Cd 0.631 0.261 0.773
Cd 0.369 0.739 0.227
Cd 0.071 0.142 0.467
Cd 0.694 0.387 0.473
Ag 0.483 0.966 0.799
Ag 0.517 0.034 0.201
Ag 0.759 0.518 0.186
Ag 0.241 0.482 0.814
CELL_PARAMETERS angstrom
4.400 0.000 0.000
-2.200 9.360 0.395
0.000 -3.896 6.361
```

Record 4
Here is Ho2ThCd after structural relaxation from Alexandria via LeMat-Bulk. Energies are from PBE. Values from VASP.

Output
* crystal system: cubic
* ΔE_f: 108 meV/atom
* ΔE to the lowest computed polymorph: 26.2 kJ per mole of atoms
* density: 9719 kg/m3
* space group: Fm-3m, No. 225
* V: 28.8 Å³ per atom

Structure (Quantum ESPRESSO input):
```
&SYSTEM
  ibrav = 0, nat = 4, ntyp = 3
/
ATOMIC_SPECIES
Ho 164.93 Ho.upf
Th 232.04 Th.upf
Cd 112.41 Cd.upf
ATOMIC_POSITIONS crystal
Ho 0.250 0.250 0.250
Ho 0.750 0.750 0.750
Th 0.000 0.000 0.000
Cd 0.500 0.500 0.500
CELL_PARAMETERS angstrom
5.462 0.000 0.000
2.731 4.730 0.000
2.731 1.577 4.460
```

Record 5
Here is NbIn2Ru2 after structural relaxation from Alexandria via LeMat-Bulk. Energies are from PBE. Values from VASP.

Output
* crystal system: tetragonal
* ΔE_f: 666 meV/atom
* ΔE to the lowest computed polymorph: 56.2 kJ per mole of atoms
* density: 9045 kg/m3
* space group: I4/mmm, No. 139
* V: 19.3 Å³ per atom

Structure (Quantum ESPRESSO input):
```
&SYSTEM
  ibrav = 0, nat = 5, ntyp = 3
/
ATOMIC_SPECIES
Ru 101.07 Ru.upf
Nb 92.91 Nb.upf
In 114.82 In.upf
ATOMIC_POSITIONS crystal
Ru 0.750 0.250 0.500
Ru 0.250 0.750 0.500
Nb 0.000 0.000 0.000
In 0.397 0.397 0.206
In 0.603 0.603 0.794
CELL_PARAMETERS angstrom
-3.730 0.647 -0.097
-0.165 -1.471 -3.486
-3.071 -6.494 0.829
```

Record 6
Here is TbPmCl after structural relaxation from Alexandria via LeMat-Bulk. Energies are from PBE. Values from VASP.

Output
* crystal system: trigonal
* density: 6562 kg/m3
* space group: P3m1, No. 156
* energy: -0.1708 hartree per atom
* V: 28.6 Å³ per atom

Structure (Quantum ESPRESSO input):
```
&SYSTEM
  ibrav = 0, nat = 3, ntyp = 3
/
ATOMIC_SPECIES
Cl 35.45 Cl.upf
Tb 158.93 Tb.upf
Pm 145.00 Pm.upf
ATOMIC_POSITIONS crystal
Cl 0.667 0.333 0.340
Tb 0.333 0.667 0.638
Pm 0.000 0.000 0.022
CELL_PARAMETERS angstrom
3.727 0.000 0.000
-1.863 3.227 0.000
0.000 0.000 7.141
```

Record 7
Here is ZrNbSn after structural relaxation from Alexandria via LeMat-Bulk. Energies are from PBE. Values from VASP.

Output
* crystal system: orthorhombic
* ΔE_f: 508 meV/atom
* density: 6318 kg/m3
* space group: Cmmm, No. 65
* V: 26.5 Å³ per atom

Structure (Quantum ESPRESSO input):
```
&SYSTEM
  ibrav = 0, nat = 6, ntyp = 3
/
ATOMIC_SPECIES
Nb 92.91 Nb.upf
Zr 91.22 Zr.upf
Sn 118.71 Sn.upf
ATOMIC_POSITIONS crystal
Nb 0.000 0.000 0.000
Nb 0.500 0.500 0.500
Zr 0.000 0.733 0.733
Zr 0.000 0.267 0.267
Sn 0.500 0.233 0.767
Sn 0.500 0.767 0.233
CELL_PARAMETERS angstrom
-1.301 -2.710 -0.720
3.203 -3.043 5.664
-5.863 1.825 3.727
```

Record 8
Here is Cs2HfPdBr6 after structural relaxation from Alexandria via LeMat-Bulk. Energies are from PBE. Values from VASP.

Output
* crystal system: tetragonal
* density: 5045 kg/m3
* space group: I4/mmm, No. 139
* energy: -0.1460 hartree per atom
* V: 33.9 Å³ per atom

Structure (Quantum ESPRESSO input):
```
&SYSTEM
  ibrav = 0, nat = 10, ntyp = 4
/
ATOMIC_SPECIES
Cs 132.91 Cs.upf
Hf 178.49 Hf.upf
Br 79.90 Br.upf
Pd 106.42 Pd.upf
ATOMIC_POSITIONS crystal
Cs 0.750 0.250 0.500
Cs 0.250 0.750 0.500
Hf 0.000 0.000 0.000
Br 0.234 0.234 0.533
Br 0.766 0.766 0.467
Br 0.242 0.242 0.000
Br 0.758 0.758 0.000
Br 0.758 0.242 0.000
Br 0.242 0.758 0.000
Pd 0.500 0.500 0.000
CELL_PARAMETERS angstrom
7.729 0.000 0.000
0.000 7.729 0.000
3.864 3.864 5.676
```

Record 9
Here is UCdPd14 after structural relaxation from Alexandria via LeMat-Bulk. Energies are from PBE. Values from VASP.

Output
* crystal system: tetragonal
* ΔE_f: -260 meV/atom
* density: 11858 kg/m3
* space group: P4/mmm, No. 123
* V: 16.1 Å³ per atom

Structure (Quantum ESPRESSO input):
```
&SYSTEM
  ibrav = 0, nat = 16, ntyp = 3
/
ATOMIC_SPECIES
U 238.03 U.upf
Cd 112.41 Cd.upf
Pd 106.42 Pd.upf
ATOMIC_POSITIONS crystal
U 0.375 0.375 0.500
Cd 0.875 0.875 0.500
Pd 0.875 0.875 0.000
Pd 0.375 0.375 0.000
Pd 0.875 0.375 0.500
Pd 0.875 0.375 0.000
Pd 0.375 0.875 0.500
Pd 0.375 0.875 0.000
Pd 0.621 0.129 0.250
Pd 0.621 0.129 0.750
Pd 0.129 0.621 0.250
Pd 0.129 0.621 0.750
Pd 0.621 0.621 0.250
Pd 0.621 0.621 0.750
Pd 0.129 0.129 0.250
Pd 0.129 0.129 0.750
CELL_PARAMETERS angstrom
5.785 -0.012 0.000
0.012 5.785 0.000
0.000 0.000 7.700
```

Record 10
Here is POs after structural relaxation from Alexandria via LeMat-Bulk. Energies are from PBE. Values from VASP.

Output
* crystal system: monoclinic
* ΔE_f: 105 meV/atom
* density: 12669 kg/m3
* space group: Cm, No. 8
* V: 14.5 Å³ per atom

Structure (Quantum ESPRESSO input):
```
&SYSTEM
  ibrav = 0, nat = 6, ntyp = 2
/
ATOMIC_SPECIES
P 30.97 P.upf
Os 190.23 Os.upf
ATOMIC_POSITIONS crystal
P 0.965 0.965 0.120
P 0.009 0.009 0.648
P 0.298 0.298 0.834
Os 0.297 0.297 0.267
Os 0.675 0.675 0.695
Os 0.590 0.590 0.269
CELL_PARAMETERS angstrom
-1.622 -4.576 3.693
-1.007 -5.893 1.212
4.477 -2.028 2.185
```

Record 11
Here is Dy7ScTl4 after structural relaxation from Alexandria via LeMat-Bulk. Energies are from PBE. Values from VASP.

Output
* crystal system: monoclinic
* ΔE_f: -19 meV/atom
* density: 9416 kg/m3
* space group: C2/m, No. 12
* V: 29.4 Å³ per atom

Structure (Quantum ESPRESSO input):
```
&SYSTEM
  ibrav = 0, nat = 12, ntyp = 3
/
ATOMIC_SPECIES
Dy 162.50 Dy.upf
Sc 44.96 Sc.upf
Tl 204.38 Tl.upf
ATOMIC_POSITIONS crystal
Dy 0.797 0.880 0.526
Dy 0.203 0.120 0.474
Dy 0.069 0.595 0.268
Dy 0.931 0.405 0.732
Dy 0.251 0.706 0.792
Dy 0.500 0.000 0.000
Dy 0.749 0.294 0.208
Sc 0.000 0.000 0.000
Tl 0.550 0.290 0.609
Tl 0.450 0.710 0.391
Tl 0.684 0.659 0.974
Tl 0.316 0.341 0.026
CELL_PARAMETERS angstrom
-5.638 -0.114 0.792
-3.578 -5.927 -5.850
-2.215 -6.734 3.737
```